DFT (PBE-GGA) results for an optimized crystal structure of AlCo.

Output
- electronic total energy (eV/atom) = -6.028
- DFT formation energy (kJ/mol of formula units) = -117

```
data_AlCo
_symmetry_space_group_name_H-M 'P m -3 m'
_symmetry_Int_Tables_number 221
_symmetry_space_group_name_Hall '-P 4 2 3'
_cell_length_a 2.8527
_cell_length_b 2.8527
_cell_length_c 2.8527
_cell_angle_alpha 90.00
_cell_angle_beta 90.00
_cell_angle_gamma 90.00
loop_
_atom_site_label
_atom_site_type_symbol
_atom_site_fract_x
_atom_site_fract_y
_atom_site_fract_z
Al1 Al 0.0000 0.0000 0.0000
Co1 Co 0.5000 0.5000 0.5000
```



DFT (PBE-GGA) results for an optimized crystal structure of Al4Co.

Output
- electronic total energy (eV/atom) = -4.639
- relative energy among the computed polymorphs (kJ/mol of formula units) = 20.1
- DFT formation energy (kJ/mol of formula units) = -108

```
data_Al4Co
_symmetry_space_group_name_H-M 'P -4 21 c'
_symmetry_Int_Tables_number 114
_symmetry_space_group_name_Hall 'P -4 2n'
_cell_length_a 4.9157
_cell_length_b 4.9157
_cell_length_c 6.2541
_cell_angle_alpha 90.00
_cell_angle_beta 90.00
_cell_angle_gamma 90.00
loop_
_atom_site_label
_atom_site_type_symbol
_atom_site_fract_x
_atom_site_fract_y
_atom_site_fract_z
Al1 Al 0.1325 0.2485 0.3342
Co1 Co 0.0000 0.0000 0.0000
```



DFT (PBE-GGA) results for an optimized crystal structure of Al2Co.

Output
- electronic total energy (eV/atom) = -5.022
- DFT formation energy (kJ/mol of formula units) = -46

```
data_Al2Co
_symmetry_space_group_name_H-M 'P 63/m m c'
_symmetry_Int_Tables_number 194
_symmetry_space_group_name_Hall '-P 6c 2c'
_cell_length_a 2.8124
_cell_length_b 2.8124
_cell_length_c 12.6420
_cell_angle_alpha 90.00
_cell_angle_beta 90.00
_cell_angle_gamma 120.00
loop_
_atom_site_label
_atom_site_type_symbol
_atom_site_fract_x
_atom_site_fract_y
_atom_site_fract_z
Al1 Al 0.0000 0.0000 0.1059
Co1 Co 0.3333 0.6667 0.2500
```



DFT (PBE-GGA) results for an optimized crystal structure of AlCo4.

Output
- electronic total energy (eV/atom) = -6.253
- relative energy among the computed polymorphs (kJ/mol of formula units) = 163.3
- DFT formation energy (kJ/mol of formula units) = 87

```
data_AlCo4
_symmetry_space_group_name_H-M 'I 4/m m m'
_symmetry_Int_Tables_number 139
_symmetry_space_group_name_Hall '-I 4 2'
_cell_length_a 3.3833
_cell_length_b 3.3833
_cell_length_c 10.9836
_cell_angle_alpha 90.00
_cell_angle_beta 90.00
_cell_angle_gamma 90.00
loop_
_atom_site_label
_atom_site_type_symbol
_atom_site_fract_x
_atom_site_fract_y
_atom_site_fract_z
Al1 Al 0.0000 0.0000 0.0000
Co1 Co 0.0000 0.0000 0.3986
Co2 Co 0.0000 0.5000 0.2500
```



DFT (PBE-GGA) results for an optimized crystal structure of Al4Co3.

Output
- electronic total energy (eV/atom) = -5.516
- relative energy among the computed polymorphs (kJ/mol of formula units) = 110.1
- DFT formation energy (kJ/mol of formula units) = -224

```
data_Al4Co3
_symmetry_space_group_name_H-M 'I 4/m m m'
_symmetry_Int_Tables_number 139
_symmetry_space_group_name_Hall '-I 4 2'
_cell_length_a 3.0304
_cell_length_b 3.0304
_cell_length_c 19.3891
_cell_angle_alpha 90.00
_cell_angle_beta 90.00
_cell_angle_gamma 90.00
loop_
_atom_site_label
_atom_site_type_symbol
_atom_site_fract_x
_atom_site_fract_y
_atom_site_fract_z
Al1 Al 0.0000 0.0000 0.0681
Al2 Al 0.0000 0.0000 0.3455
Co1 Co 0.0000 0.0000 0.2104
Co2 Co 0.0000 0.0000 0.5000
```



DFT (PBE-GGA) results for an optimized crystal structure of AlCo4.

Output
- electronic total energy (eV/atom) = -6.478
- relative energy among the computed polymorphs (kJ/mol of formula units) = 54.6
- DFT formation energy (kJ/mol of formula units) = -22

```
data_AlCo4
_symmetry_space_group_name_H-M 'R -3 m'
_symmetry_Int_Tables_number 166
_symmetry_space_group_name_Hall '-R 3 2"'
_cell_length_a 2.5641
_cell_length_b 2.5641
_cell_length_c 30.1627
_cell_angle_alpha 90.00
_cell_angle_beta 90.00
_cell_angle_gamma 120.00
loop_
_atom_site_label
_atom_site_type_symbol
_atom_site_fract_x
_atom_site_fract_y
_atom_site_fract_z
Al1 Al 0.0000 0.0000 0.0000
Co1 Co 0.0000 0.0000 0.2002
Co2 Co 0.0000 0.0000 0.4012
```